The following is a DFT calculation (SCAN) of a PBEsol-optimized structure of CaSnF6.

Cell lengths 8.425, 8.425, 8.425 Å; angles 90.00, 90.00, 90.00 degrees
Space group Fm-3m (No. 225)
Inequivalent atoms, fractional coordinates:
Ca: 0.000 0.000 0.000 x4
Sn: 0.000 0.000 0.500 x4
F: 0.000 0.000 0.265 x24

## Properties
The value obtained for the formation energy from raw total energies is -3217 meV per atom. The calculation puts the total magnetization at 0.00 μB per atom.